No. 1
PBE NbTcHRu2, relaxed; uncorrected energy = -8.546 eV per atom; space group = P4/mmm; DOS at the Fermi energy = 4.47 states/eV/f.u.
1.0
3.933 0.000 0.000
0.000 3.933 0.000
0.000 0.000 4.027
Ru Nb Tc H
2 1 1 1
Direct
0.000 0.500 0.000
0.500 0.000 0.000
0.000 0.000 0.500
0.500 0.500 0.500
0.000 0.000 0.000

=====

No. 2
PBE Dy2LuPu, relaxed; calculated formation energy = 97 meV/atom; space group = P4/mmm; DOS at the Fermi energy = 9.87 states/eV/f.u.
1.0
-3.069 -1.327 0.917
1.541 -1.826 2.513
-1.372 7.546 6.325
Lu Dy Pu
1 2 1
Direct
0.500 0.500 0.000
0.000 0.000 0.748
0.000 0.000 0.252
0.500 0.500 0.500

=====

No. 3
PBE Hf4AuO, relaxed; formation energy from raw total energies = -0.826 eV/atom; space group = C2/c; DOS at the Fermi energy = 4.85 states/eV/f.u.
1.0
5.621 -0.048 0.000
-1.571 6.325 0.000
-2.025 -3.139 6.473
Hf Au O
8 2 2
Direct
0.951 0.159 0.891
0.800 0.646 0.582
0.440 0.732 0.891
0.282 0.935 0.582
0.718 0.065 0.418
0.560 0.268 0.109
0.200 0.354 0.418
0.049 0.841 0.109
0.361 0.611 0.222
0.639 0.389 0.778
0.187 0.937 0.873
0.813 0.063 0.127

=====

No. 4
PBE Sm2DyYEr2, relaxed; calculated formation energy = 270 meV/atom; space group = Pnnm; DOS at the Fermi energy = 9.64 states/eV/f.u.
1.0
3.386 0.000 0.000
0.000 6.534 0.000
0.000 0.000 17.924
Sm Dy Y Er
4 2 2 4
Direct
0.500 0.275 0.313
0.000 0.775 0.187
0.500 0.725 0.687
0.000 0.225 0.813
0.500 0.500 0.000
0.000 0.000 0.500
0.000 0.000 0.000
0.500 0.500 0.500
0.500 0.777 0.354
0.500 0.223 0.646
0.000 0.723 0.854
0.000 0.277 0.146

=====

No. 5
PBE Tl2SiAs2, relaxed; formation energy from raw total energies = -0.005 eV/atom; space group = Ibam; DOS at the Fermi energy = 0.98 states/eV/f.u.
1.0
1.843 4.467 4.039
4.842 -2.731 5.721
7.930 0.631 0.593
Tl Si As
4 2 4
Direct
0.358 0.287 0.997
0.642 0.713 0.003
0.142 0.003 0.713
0.858 0.997 0.287
0.250 0.500 0.500
0.750 0.500 0.500
0.107 0.568 0.219
0.893 0.432 0.781
0.393 0.781 0.432
0.607 0.219 0.568

=====

No. 6
PBE Sn5Te5Br, relaxed; formation energy from raw total energies = -0.265 eV/atom; space group = C2/m; DOS at the Fermi energy = 6.16 states/eV/f.u.
1.0
5.844 0.000 -2.354
-0.795 8.729 -1.975
-0.304 -0.640 7.675
Sn Te Br
5 5 1
Direct
0.181 0.826 0.362
0.165 0.351 0.331
0.500 0.000 0.000
0.835 0.649 0.669
0.819 0.174 0.638
0.337 0.665 0.674
0.334 0.165 0.667
0.000 0.500 0.000
0.666 0.835 0.333
0.663 0.335 0.326
0.000 0.000 0.000

=====

No. 7
PBE In2Hg5, relaxed; calculated formation energy = 25 meV/atom; space group = R-3m; DOS at the Fermi energy = 2.55 states/eV/f.u.
1.0
5.224 0.000 0.000
2.612 4.524 0.000
2.612 1.508 7.867
In Hg
2 5
Direct
0.636 0.636 0.093
0.364 0.364 0.907
0.072 0.072 0.783
0.785 0.785 0.646
0.500 0.500 0.500
0.215 0.215 0.354
0.928 0.928 0.217

=====

No. 8
PBE MnSnPHS, relaxed; uncorrected energy = -5.277 eV per atom; space group = P1; DOS at the Fermi energy = 1.30 states/eV/f.u.
1.0
-3.054 -0.997 -0.038
0.673 -1.899 -4.534
-0.025 -5.110 0.756
Mn Sn P H S
1 1 1 1 1
Direct
0.799 0.612 0.695
0.529 0.613 0.239
0.325 0.940 0.641
0.458 0.150 0.370
0.207 0.257 0.878

=====

No. 9
PBE Ca2AsRu, relaxed; calculated formation energy = -432 meV/atom; space group = C2; DOS at the Fermi energy = 2.33 states/eV/f.u.
1.0
-3.891 1.936 2.570
-0.737 -3.854 -3.178
1.000 -2.930 3.501
Ru As Ca
1 1 2
Direct
0.625 0.375 0.000
0.625 0.375 0.500
0.959 0.041 0.000
0.291 0.709 0.500

=====

No. 10
PBE TbZnCu, relaxed; calculated formation energy = -227 meV/atom; space group = P2_1/m; DOS at the Fermi energy = 1.77 states/eV/f.u.
1.0
-4.074 -0.181 -0.636
0.507 -4.286 -2.032
1.323 -2.481 5.562
Tb Zn Cu
2 2 2
Direct
0.895 0.250 0.797
0.105 0.750 0.203
0.608 0.250 0.219
0.392 0.750 0.781
0.229 0.250 0.465
0.771 0.750 0.535

=====

No. 11
PBE NbGaNi, relaxed; calculated formation energy = -297 meV/atom; space group = Cmcm; DOS at the Fermi energy = 2.71 states/eV/f.u.
1.0
3.786 0.002 0.755
-0.003 5.211 -0.001
1.040 0.001 4.653
Nb Ga Ni
2 2 2
Direct
0.297 0.250 0.407
0.703 0.750 0.593
0.000 0.000 0.000
0.000 0.500 0.000
0.603 0.250 0.795
0.397 0.750 0.205

=====

No. 12
PBE CeHoLuSn, relaxed; calculated formation energy = -199 meV/atom; space group = F-43m; DOS at the Fermi energy = 9.29 states/eV/f.u.
1.0
-0.246 -3.721 -3.900
4.504 -2.456 -1.673
0.833 -5.200 1.176
Lu Ho Ce Sn
1 1 1 1
Direct
0.250 0.250 0.250
0.500 0.500 0.500
0.000 0.000 0.000
0.750 0.750 0.750